VASP calculation (PBE) on a geometry-optimized BC2 structure.

Results
SG ... Cm, No. 8
M_tot ... 0.00 μB per formula unit
Energy relative to the elements ... 0.314 eV per atom
Polymorph energy (0 for the lowest one) ... 0.0744 eV/atom

Cell: 5.916 5.916 5.313 Å, 102.60 102.60 25.44°
Atoms (fractional coordinates):
B 0.000 0.000 0.000
B 0.236 0.236 0.325
B 0.570 0.570 0.494
B 0.878 0.878 0.595
C 0.234 0.234 0.827
C 0.313 0.313 0.629
C 0.317 0.317 0.100
C 0.577 0.577 0.991
C 0.647 0.647 0.266
C 0.653 0.653 0.785
C 0.894 0.894 0.149
C 0.976 0.976 0.431

VASP calculation (PBE) on a geometry-optimized YLuBeZn structure.

Results
SG ... F-43m, No. 216
M_tot ... 0.00 μB per formula unit
Energy relative to the elements ... -0.130 eV per atom

Cell: 4.898 4.898 4.898 Å, 60.00 60.00 60.00°
Atoms (fractional coordinates):
Y 0.000 0.000 0.000
Lu 0.500 0.500 0.500
Be 0.750 0.750 0.750
Zn 0.250 0.250 0.250

Repeat the first record exactly.
VASP calculation (PBE) on a geometry-optimized BC2 structure.

Results
SG ... Cm, No. 8
M_tot ... 0.00 μB per formula unit
Energy relative to the elements ... 0.314 eV per atom
Polymorph energy (0 for the lowest one) ... 0.0744 eV/atom

Cell: 5.916 5.916 5.313 Å, 102.60 102.60 25.44°
Atoms (fractional coordinates):
B 0.000 0.000 0.000
B 0.236 0.236 0.325
B 0.570 0.570 0.494
B 0.878 0.878 0.595
C 0.234 0.234 0.827
C 0.313 0.313 0.629
C 0.317 0.317 0.100
C 0.577 0.577 0.991
C 0.647 0.647 0.266
C 0.653 0.653 0.785
C 0.894 0.894 0.149
C 0.976 0.976 0.431

- What is the formula in the first record?
  BC2

- Number 1 is which compound?
  BC2

- Which of these has the highest energy relative to the elements?
  BC2